1.
DFT (GGA-PBE) results for CeHoTe2 after structural relaxation.

Computed properties:
density	7.7	g cm⁻³
offset from the most stable computed form	90	meV/atom

Cell: 4.4867 4.2793 12.8239 Å, 99.60 90.00 90.00°
Closest atoms and distances in Å follow each position.
Fractional coordinates of all 8 atoms:
Te 0.7500 0.9406 0.8811  1 Ho 3.04, 4 Ce 3.11
Te 0.7500 0.6957 0.3913  5 Ho 3.13-3.15, 1 Ce 3.18
Te 0.2500 0.3043 0.6087  5 Ho 3.13-3.15, 1 Ce 3.18
Te 0.2500 0.0594 0.1189  1 Ho 3.04, 4 Ce 3.11
Ce 0.7500 0.5699 0.1399  5 Te 3.11-3.18
Ce 0.2500 0.4301 0.8601  5 Te 3.11-3.18
Ho 0.7500 0.8202 0.6404  6 Te 3.04-3.15
Ho 0.2500 0.1798 0.3596  6 Te 3.04-3.15



2.
DFT (GGA-PBE) results for Ce2HoTe4 after structural relaxation.

Computed properties:
density	6.5	g cm⁻³
offset from the most stable computed form	0	meV/atom

Cell: 8.8345 8.8046 8.8046 Å, 60.63 59.89 59.89°
Closest atoms and distances in Å follow each position.
Fractional coordinates of all 14 atoms:
Te 0.2601 0.2480 0.2318  2 Ho 3.08, 3 Ce 3.19-3.22
Te 0.7480 0.7459 0.2459  1 Ho 3.04, 3 Ce 3.14-3.17
Te 0.7398 0.2541 0.7541  1 Ho 3.04, 3 Ce 3.14-3.17
Te 0.2601 0.7318 0.7480  2 Ho 3.08, 3 Ce 3.19-3.22
Te 0.7399 0.7520 0.7682  2 Ho 3.08, 3 Ce 3.19-3.22
Te 0.7399 0.2682 0.2520  2 Ho 3.08, 3 Ce 3.19-3.22
Te 0.2520 0.2541 0.7541  1 Ho 3.04, 3 Ce 3.14-3.17
Te 0.2602 0.7459 0.2459  1 Ho 3.04, 3 Ce 3.14-3.17
Ce 0.5000 0.0000 0.5000  6 Te 3.14-3.19
Ce 0.0000 0.0000 0.5000  6 Te 3.14-3.19
Ce 0.0000 0.5000 0.5000  6 Te 3.17-3.22
Ce 0.0000 0.0000 0.0000  6 Te 3.17-3.22
Ho 0.5000 0.5000 0.0000  6 Te 3.04-3.08
Ho 0.0000 0.5000 0.0000  6 Te 3.04-3.08



3.
DFT (GGA-PBE) results for Ce4HoTe5 after structural relaxation.

Computed properties:
E_tot	-0.422	Ry per atom
density	7.2	g cm⁻³

Cell: 4.4621 4.4621 16.0437 Å, 97.99 97.99 90.00°
Closest atoms and distances in Å follow each position.
Fractional coordinates of all 10 atoms:
Ce 0.8018 0.8018 0.6036  6 Te 3.16-3.18
Ce 0.6007 0.6007 0.2013  6 Te 3.15-3.17
Ce 0.1982 0.1982 0.3964  6 Te 3.16-3.18
Ce 0.3993 0.3993 0.7987  6 Te 3.15-3.17
Te 0.2991 0.2991 0.5981  6 Ce 3.15-3.17
Te 0.5000 0.5000 0.0000  4 Ho 3.16, 2 Ce 3.17
Te 0.0971 0.0971 0.1941  1 Ho 3.05, 5 Ce 3.16-3.18
Te 0.7009 0.7009 0.4019  6 Ce 3.15-3.17
Te 0.9029 0.9029 0.8059  1 Ho 3.05, 5 Ce 3.16-3.18
Ho 0.0000 0.0000 0.0000  6 Te 3.05-3.16



4.
DFT (GGA-PBE) results for CeHoTe2 after structural relaxation.

Computed properties:
density	8.4	g cm⁻³
offset from the most stable computed form	134	meV/atom

Cell: 3.8233 5.3856 5.3856 Å, 90.00 90.00 90.00°
Closest atoms and distances in Å follow each position.
Fractional coordinates of all 4 atoms:
Ho 0.5000 0.5000 0.5000  8 Te 3.30
Ce 0.5000 0.0000 0.0000  8 Te 3.30
Te 0.0000 0.5000 0.0000  4 Ho 3.30, 4 Ce 3.30
Te 0.0000 0.0000 0.5000  4 Ho 3.30, 4 Ce 3.30



5.
DFT (GGA-PBE) results for CeHo2Te3 after structural relaxation.

Computed properties:
density	7.9	g cm⁻³
offset from the most stable computed form	0	meV/atom

Cell: 4.3384 6.2102 7.6495 Å, 113.95 106.47 90.00°
Closest atoms and distances in Å follow each position.
Fractional coordinates of all 6 atoms:
Ho 0.1622 0.1622 0.8244  6 Te 3.06-3.11
Ho 0.8378 0.8378 0.1756  6 Te 3.06-3.11
Te 0.8255 0.3255 0.1509  4 Ho 3.07-3.11, 2 Ce 3.18
Te 0.1745 0.6745 0.8491  4 Ho 3.07-3.11, 2 Ce 3.18
Te 0.5000 0.0000 0.5000  4 Ho 3.06, 2 Ce 3.11
Ce 0.5000 0.5000 0.5000  6 Te 3.11-3.18



6.
DFT (GGA-PBE) results for CeHoTe2 after structural relaxation.

Computed properties:
density	7.6	g cm⁻³
offset from the most stable computed form	38	meV/atom

Cell: 4.2257 4.2257 8.2801 Å, 75.22 75.22 60.00°
Closest atoms and distances in Å follow each position.
Fractional coordinates of all 4 atoms:
Ce 0.6699 0.6699 0.9903  6 Te 3.14-3.24
Ho 0.4968 0.4968 0.5095  6 Te 3.05-3.14
Te 0.2470 0.2470 0.2590  3 Ho 3.14, 3 Ce 3.24
Te 0.0863 0.0863 0.7412  3 Ho 3.05, 3 Ce 3.14



no.,spin magnetization (μB/f.u.)
1,1.28
2,2.26
3,4.75
4,2.08
5,1.31
6,1.20